Entry 1:
Material: La9TbTh2
Method: DFT, PBE
State: relaxed

The structure in POSCAR format:
```
La9TbTh2
1.0
5.190 0.000 0.000
0.000 5.190 0.000
0.000 0.000 15.587
La Tb Th
9 1 2
Direct
0.000 0.000 0.000
0.000 0.000 0.334
0.000 0.000 0.666
0.000 0.500 0.170
0.000 0.500 0.500
0.000 0.500 0.830
0.500 0.000 0.170
0.500 0.000 0.500
0.500 0.000 0.830
0.500 0.500 0.000
0.500 0.500 0.333
0.500 0.500 0.667
```

Output
Raw total energy (eV per atom): -5.282
ΔE_f (eV per atom): 0.036
SG: P4/mmm

=====

Entry 2:
Material: LaTbTh3
Method: DFT, PBE
State: relaxed

The structure in POSCAR format:
```
LaTbTh3
1.0
-5.005 5.952 3.014
5.005 -5.952 3.014
5.005 5.952 -3.014
La Tb Th
2 2 6
Direct
0.500 0.000 0.000
0.500 0.500 0.500
0.051 0.301 0.750
0.949 0.699 0.250
0.000 0.000 0.000
0.000 0.332 0.332
0.000 0.668 0.668
0.500 0.000 0.500
0.500 0.332 0.832
0.500 0.668 0.168
```

Output
Raw total energy (eV per atom): -6.023
ΔE_f (eV per atom): 0.341
SG: Imma

=====

Entry 3:
Material: La3TbTh3
Method: DFT, PBE
State: relaxed

The structure in POSCAR format:
```
La3TbTh3
1.0
9.675 0.000 0.000
-4.838 8.379 0.000
0.000 0.000 5.962
La Tb Th
6 2 6
Direct
0.045 0.798 0.250
0.202 0.247 0.250
0.247 0.045 0.750
0.753 0.955 0.250
0.798 0.753 0.750
0.955 0.202 0.750
0.333 0.667 0.250
0.667 0.333 0.750
0.105 0.611 0.750
0.389 0.494 0.750
0.494 0.105 0.250
0.506 0.895 0.750
0.611 0.506 0.250
0.895 0.389 0.250
```

Output
Raw total energy (eV per atom): -5.885
ΔE_f (eV per atom): 0.069
SG: P6_3/m

=====

Entry 4:
Material: La9TbTh4
Method: DFT, PBE
State: relaxed

The structure in POSCAR format:
```
La9TbTh4
1.0
10.244 0.000 0.000
-5.122 8.871 0.000
0.000 0.000 11.114
La Tb Th
18 2 8
Direct
0.085 0.542 0.250
0.198 0.395 0.545
0.198 0.395 0.955
0.198 0.802 0.545
0.198 0.802 0.955
0.395 0.198 0.045
0.395 0.198 0.455
0.458 0.542 0.250
0.458 0.915 0.250
0.542 0.085 0.750
0.542 0.458 0.750
0.605 0.802 0.545
0.605 0.802 0.955
0.802 0.198 0.045
0.802 0.198 0.455
0.802 0.605 0.045
0.802 0.605 0.455
0.915 0.458 0.750
0.333 0.667 0.750
0.667 0.333 0.250
0.000 0.000 0.000
0.000 0.000 0.500
0.111 0.222 0.250
0.111 0.889 0.250
0.222 0.111 0.750
0.778 0.889 0.250
0.889 0.111 0.750
0.889 0.778 0.750
```

Output
Raw total energy (eV per atom): -5.498
ΔE_f (eV per atom): 0.121
SG: P6_3/mmc